The following is a PBE+U calculation of crystalline CrSbOF2 at its relaxed geometry, from Alexandria via LeMat-Bulk.

The structure belongs to space group P4/mmm (No. 123); the cell edges are 4.143, 4.143 and 4.040 Å and the angles 90.00°, 90.00° and 90.00°. The inequivalent atoms are Cr at (0.000, 0.000, 0.000), Sb at (0.500, 0.500, 0.500), O at (0.000, 0.000, 0.500) and F at (0.000, 0.500, 0.000).

The total energy comes out at -27.3 eV per cell. The size of the total moment is 3.50 μB/f.u. The density of states at the Fermi level is 2.36 states/eV per cell. The calculation puts the energy above the most stable polymorph in this dataset at 0.0 meV/atom.